No. 1
Ti6AuC GGA-PBE optimized geometry; DFT formation energy = -0.3018 eV per atom; symmetry = R-3 (148); magnetization = 0.00 μB/cell
1.0
4.837 -0.845 -1.492
1.592 4.816 -0.784
0.767 1.531 4.838
C Ti Au
1 6 1
Direct
0.000 0.000 0.000 C
0.671 0.240 0.089 Ti
0.089 0.328 0.760 Ti
0.911 0.672 0.240 Ti
0.760 0.911 0.672 Ti
0.329 0.760 0.911 Ti
0.240 0.089 0.328 Ti
0.500 0.500 0.500 Au

---

No. 2
Ba2HfO4 GGA-PBE optimized geometry; raw formation energy = -3137 meV per atom; symmetry = I4/mmm (139); magnetization = 0.00 μB/cell
1.0
-0.638 4.077 -0.759
-1.179 -0.914 -3.921
-7.359 0.960 -0.255
O Ba Hf
4 2 1
Direct
0.845 0.845 0.310 O
0.155 0.155 0.690 O
0.500 0.000 0.000 O
0.000 0.500 0.000 O
0.353 0.353 0.295 Ba
0.647 0.647 0.705 Ba
0.000 0.000 0.000 Hf

---

- Which value of magnetization does entry 1 give?
  0.00 μB/cell

---

What did the second record say?
Ba2HfO4 GGA-PBE optimized geometry; raw formation energy = -3137 meV per atom; symmetry = I4/mmm (139); magnetization = 0.00 μB/cell
1.0
-0.638 4.077 -0.759
-1.179 -0.914 -3.921
-7.359 0.960 -0.255
O Ba Hf
4 2 1
Direct
0.845 0.845 0.310 O
0.155 0.155 0.690 O
0.500 0.000 0.000 O
0.000 0.500 0.000 O
0.353 0.353 0.295 Ba
0.647 0.647 0.705 Ba
0.000 0.000 0.000 Hf